Entry 1:
CrPt2Au | PBE | optimized geometry

Geometry as extended XYZ:
```
4
Lattice="0.0000 3.1819 3.1819 3.1819 0.0000 3.1819 3.1819 3.1819 0.0000" Properties=species:S:1:pos:R:3 pbc="T T T"
Cr 0.0000 0.0000 0.0000
Pt 1.5910 1.5910 1.5910
Pt 3.1819 3.1819 3.1819
Au 4.7729 4.7729 4.7729
```

The calculation puts the total energy at -24.78 eV/cell. Its space group is F-43m (216). For the density of states at the Fermi level, the calculation gives 3.3 states/eV per cell. For the energy relative to the elements, the calculation gives 0.051 eV per atom.

***

Entry 2:
CrPt2Au | PBE | optimized geometry

Geometry as extended XYZ:
```
4
Lattice="2.8367 -3.8288 0.0000 2.8367 3.8288 0.0000 0.0000 0.0000 2.9427" Properties=species:S:1:pos:R:3 pbc="T T T"
Cr 0.0000 0.0000 0.0000
Pt 1.4184 1.9144 1.4714
Pt 1.4184 -1.9144 1.4714
Au 2.8367 0.0000 0.0000
```

The calculation puts the total energy at -25.07 eV/cell. Its space group is Cmmm (65). For the density of states at the Fermi level, the calculation gives 4.8 states/eV per cell. For the energy relative to the elements, the calculation gives -0.023 eV per atom.

***

Entry 3:
CrPtAu2 | PBE | optimized geometry

Geometry as extended XYZ:
```
4
Lattice="0.0000 3.1725 3.1725 3.1725 0.0000 3.1725 3.1725 3.1725 0.0000" Properties=species:S:1:pos:R:3 pbc="T T T"
Cr 0.0000 0.0000 0.0000
Pt 3.1725 3.1725 3.1725
Au 1.5862 1.5862 1.5862
Au 4.7587 4.7587 4.7587
```

The calculation puts the total energy at -20.84 eV/cell. Its space group is Fm-3m (225). For the density of states at the Fermi level, the calculation gives 4.1 states/eV per cell. For the energy relative to the elements, the calculation gives 0.345 eV per atom.

***

Entry 4:
CrPtAu2 | PBE | optimized geometry

Geometry as extended XYZ:
```
4
Lattice="2.9666 0.0000 0.0000 0.0000 3.7753 0.0000 -0.0244 0.0000 5.9098" Properties=species:S:1:pos:R:3 pbc="T T T"
Cr 0.0000 0.0000 0.0000
Pt 1.4614 1.8877 4.6686
Au 2.9533 0.0000 3.0827
Au 1.4774 1.8877 1.5335
```

The calculation puts the total energy at -22.25 eV/cell. Its space group is Pm (6). For the density of states at the Fermi level, the calculation gives 3.1 states/eV per cell. For the energy relative to the elements, the calculation gives -0.009 eV per atom.